First-principles (PBEsol) data for Nb4VO12 after structural relaxation, as listed in the Alexandria database.

POSCAR file:
```
Nb4VO12
1.0
5.0865 0.0000 0.0000
-0.0012 5.5680 0.0000
-0.0595 -0.7199 7.6590
Nb V O
4 1 12
direct
0.0000 0.0000 0.0000
0.0267 0.0177 0.5297
0.5030 0.5327 0.0071
0.5367 0.5319 0.5261
0.4934 0.1360 0.2284
0.1744 0.6823 0.9730
0.1871 0.0007 0.2646
0.2191 0.2956 0.5723
0.3053 0.1981 0.9915
0.3244 0.8029 0.5683
0.4122 0.4630 0.2744
0.6279 0.4984 0.7786
0.6699 0.8350 0.1052
0.7030 0.1632 0.4270
0.7724 0.2749 0.0861
0.8350 0.6876 0.4627
0.8960 0.0051 0.7668
```

* D(E_F): 0.112 states/eV per atom

***

First-principles (PBEsol) data for NbVO4 after structural relaxation, as listed in the Alexandria database.

POSCAR file:
```
NbVO4
1.0
4.6082 0.0000 0.0000
0.0000 11.5001 0.0000
0.0000 0.0000 4.8532
Nb V O
4 4 16
direct
0.0000 0.1773 0.2500
0.0000 0.8227 0.7500
0.5000 0.3227 0.7500
0.5000 0.6773 0.2500
0.0000 0.4405 0.2500
0.0000 0.5595 0.7500
0.5000 0.0595 0.7500
0.5000 0.9405 0.2500
0.2280 0.3141 0.0773
0.2280 0.6859 0.5773
0.2409 0.4380 0.5802
0.2409 0.5620 0.0802
0.2591 0.0620 0.0802
0.2591 0.9380 0.5802
0.2720 0.1859 0.5773
0.2720 0.8141 0.0773
0.7280 0.1859 0.9227
0.7280 0.8141 0.4227
0.7409 0.0620 0.4198
0.7409 0.9380 0.9198
0.7591 0.4380 0.9198
0.7591 0.5620 0.4198
0.7720 0.3141 0.4227
0.7720 0.6859 0.9227
```

* D(E_F): 0.279 states/eV per atom

***

First-principles (PBEsol) data for Nb2VZn2O8 after structural relaxation, as listed in the Alexandria database.

POSCAR file:
```
Nb2VZn2O8
1.0
9.4261 -2.9284 0.0000
9.4261 2.9284 0.0000
-0.1180 0.0000 5.2275
Nb V Zn O
4 2 4 16
direct
0.0460 0.7287 0.7469
0.2713 0.9540 0.7531
0.7287 0.0460 0.2469
0.9540 0.2713 0.2531
0.3666 0.6334 0.2500
0.6334 0.3666 0.7500
0.1232 0.4372 0.2354
0.4372 0.1232 0.7354
0.5628 0.8768 0.2646
0.8768 0.5628 0.7646
0.0607 0.8089 0.0937
0.0795 0.2753 0.5608
0.1652 0.4492 0.8688
0.1911 0.9393 0.4063
0.2753 0.0795 0.0608
0.3235 0.5673 0.5772
0.4327 0.6765 0.9228
0.4492 0.1652 0.3688
0.5508 0.8348 0.6312
0.5673 0.3235 0.0772
0.6765 0.4327 0.4228
0.7247 0.9205 0.9392
0.8089 0.0607 0.5937
0.8348 0.5508 0.1312
0.9205 0.7247 0.4392
0.9393 0.1911 0.9063
```

* D(E_F): 0.296 states/eV per atom

***

First-principles (PBEsol) data for NbWO3 after structural relaxation, as listed in the Alexandria database.

POSCAR file:
```
NbWO3
1.0
3.9140 0.0000 0.0000
0.0000 3.9140 0.0000
0.0000 0.0000 3.9140
Nb W O
1 1 3
direct
0.0000 0.0000 0.0000
0.5000 0.5000 0.5000
0.0000 0.5000 0.5000
0.5000 0.0000 0.5000
0.5000 0.5000 0.0000
```

* D(E_F): 0.710 states/eV per atom

***

So what do the calculations give for energy relative to the elements, uncorrected? Going down the list: -2.432; -2.450; -2.095; -0.945 eV per atom.